Entry 1:
This record from Alexandria describes an optimized crystal structure of NdGdPd4. The functional is PBE.

Cell: 5.4976 5.4976 5.4976 Å, 60.00 60.00 60.00°
Element x y z (fractional)
Nd: 0.0000 0.0000 0.0000
Gd: 0.7500 0.7500 0.7500
Pd: 0.3753 0.3753 0.3753
Pd: 0.3753 0.3753 0.8741
Pd: 0.3753 0.8741 0.3753
Pd: 0.8741 0.3753 0.3753

Properties
The value obtained for the magnetic moment is 7.07 μB/cell. The value obtained for the uncorrected energy is -44.317 eV per formula unit. The space group is F-43m.

Entry 2:
This record from Alexandria describes an optimized crystal structure of SrTbI2. The functional is PBE.

Cell: 11.5005 11.5005 11.5005 Å, 20.41 20.41 20.41°
Element x y z (fractional)
Sr: 0.0000 0.0000 0.0000
Tb: 0.5000 0.5000 0.5000
I: 0.1049 0.1049 0.1049
I: 0.8951 0.8951 0.8951

Properties
The value obtained for the magnetic moment is 0.00 μB/cell. The value obtained for the uncorrected energy is -12.745 eV per formula unit. The space group is R-3m.

Entry 3:
This record from Alexandria describes an optimized crystal structure of Ac2SiPPt6. The functional is PBE.

Cell: 6.7942 6.7942 6.5271 Å, 118.68 118.68 51.62°
Element x y z (fractional)
Ac: 0.0000 0.0000 0.0000
Ac: 0.5317 0.5317 0.5324
Si: 0.1905 0.1905 0.6912
P: 0.6558 0.6558 0.1564
Pt: 0.0265 0.5125 0.0501
Pt: 0.0262 0.5126 0.4901
Pt: 0.4327 0.4327 0.9331
Pt: 0.5125 0.0265 0.0501
Pt: 0.5126 0.0262 0.4901
Pt: 0.9643 0.9643 0.4639

Properties
The value obtained for the magnetic moment is 0.00 μB/cell. The value obtained for the uncorrected energy is -65.879 eV per formula unit. The space group is Cm.

Entry 4:
This record from Alexandria describes an optimized crystal structure of CdSi2Pb2. The functional is PBE.

Cell: 6.0146 6.0146 6.0146 Å, 127.98 127.98 76.65°
Element x y z (fractional)
Cd: 0.0000 0.0000 0.0000
Si: 0.3757 0.3757 0.0000
Si: 0.6243 0.6243 0.0000
Pb: 0.2500 0.7500 0.5000
Pb: 0.7500 0.2500 0.5000

Properties
The energy above the most stable polymorph in this dataset comes out at 95 meV/atom. The value obtained for the magnetic moment is 0.00 μB/cell. The value obtained for the uncorrected energy is -17.254 eV per formula unit. The space group is I4/mmm.

Entry 5:
This record from Alexandria describes an optimized crystal structure of CoAs2SeCl. The functional is PBE.

Cell: 4.6613 4.6613 4.6648 Å, 90.00 90.00 90.00°
Element x y z (fractional)
Co: 0.0000 0.0000 0.0000
As: 0.0000 0.5000 0.0000
As: 0.5000 0.0000 0.0000
Se: 0.0000 0.0000 0.5000
Cl: 0.5000 0.5000 0.5000

Properties
The energy above the most stable polymorph in this dataset comes out at 0 meV/atom. The value obtained for the magnetic moment is 0.77 μB/cell. The value obtained for the uncorrected energy is -19.771 eV per formula unit. The space group is P4/mmm.

Entry 6:
This record from Alexandria describes an optimized crystal structure of KNb2F11. The functional is PBE.

Cell: 8.8264 8.8264 8.8264 Å, 124.37 106.38 98.83°
Element x y z (fractional)
K: 0.2500 0.2500 0.0000
K: 0.7500 0.7500 0.0000
Nb: 0.1819 0.6090 0.7909
Nb: 0.3181 0.1090 0.4270
Nb: 0.6819 0.8910 0.5730
Nb: 0.8181 0.3910 0.2091
F: 0.0000 0.5000 0.5000
F: 0.0198 0.3821 0.1678
F: 0.0714 0.9892 0.2918
F: 0.1973 0.4892 0.9177
F: 0.2060 0.3738 0.5798
F: 0.2143 0.8520 0.8322
F: 0.2857 0.1179 0.6377
F: 0.2940 0.8738 0.1677
F: 0.3027 0.2204 0.2918
F: 0.4286 0.7204 0.9177
F: 0.4802 0.6480 0.3623
F: 0.5000 0.0000 0.5000
F: 0.5198 0.3520 0.6377
F: 0.5714 0.2796 0.0823
F: 0.6973 0.7796 0.7082
F: 0.7060 0.1262 0.8323
F: 0.7143 0.8821 0.3623
F: 0.7857 0.1480 0.1678
F: 0.7940 0.6262 0.4202
F: 0.8027 0.5108 0.0823
F: 0.9286 0.0108 0.7082
F: 0.9802 0.6179 0.8322

Properties
The value obtained for the magnetic moment is 0.00 μB/cell. The value obtained for the uncorrected energy is -84.244 eV per formula unit. The space group is Ibam.

Entry 7:
This record from Alexandria describes an optimized crystal structure of Tl4VCl7. The functional is PBE.

Cell: 10.8923 10.8923 7.7025 Å, 105.70 105.70 25.51°
Element x y z (fractional)
Tl: 0.0793 0.0793 0.1537
Tl: 0.1854 0.1854 0.7556
Tl: 0.8146 0.8146 0.2444
Tl: 0.9207 0.9207 0.8463
V: 0.5000 0.5000 0.5000
Cl: 0.0000 0.0000 0.5000
Cl: 0.2185 0.2185 0.1741
Cl: 0.3968 0.3968 0.5688
Cl: 0.4434 0.4434 0.1858
Cl: 0.5566 0.5566 0.8142
Cl: 0.6032 0.6032 0.4312
Cl: 0.7815 0.7815 0.8259

Properties
The value obtained for the magnetic moment is 2.00 μB/cell. The value obtained for the uncorrected energy is -44.362 eV per formula unit. The space group is C2/m.

Entry 8:
This record from Alexandria describes an optimized crystal structure of GePb2Cl. The functional is PBE.

Cell: 8.4484 8.4484 8.4484 Å, 133.52 133.52 67.84°
Element x y z (fractional)
Ge: 0.0000 0.0000 0.0000
Ge: 0.7500 0.2500 0.5000
Pb: 0.1042 0.6250 0.9792
Pb: 0.3750 0.3542 0.4792
Pb: 0.6458 0.1250 0.0208
Pb: 0.8750 0.8958 0.5208
Cl: 0.2500 0.7500 0.5000
Cl: 0.5000 0.5000 0.0000

Properties
The energy above the most stable polymorph in this dataset comes out at 135 meV/atom. The value obtained for the magnetic moment is 0.00 μB/cell. The value obtained for the uncorrected energy is -13.874 eV per formula unit. The space group is I-42d.